VASP calculation (PBE) on KBePt2 after structural relaxation.

Computed properties:
Energy = -0.2714 Ry/atom
ρ = 10.513 g/cm³
D(E_F) = 1.6 states/eV/cell
Total magnetization = 0.0 μB/f.u.

Unit cell a=4.9204 b=4.9204 c=2.8595 alpha=90.00 beta=90.00 gamma=90.00
Last column: nearest neighbours and their distance in Å.
Element x y z (fractional)
K (0.0000, 0.0000, 0.0000)  8 Pt 2.85, 2 K 2.86
Be (0.5000, 0.5000, 0.0000)  8 Pt 2.85, 2 Be 2.86
Pt (0.0000, 0.5000, 0.5000)  4 K 2.85, 4 Be 2.85, 2 Pt 2.86
Pt (0.5000, 0.0000, 0.5000)  4 K 2.85, 4 Be 2.85, 2 Pt 2.86



VASP calculation (PBE) on KBePt4 after structural relaxation.

Computed properties:
Energy = -0.3423 Ry/atom
ρ = 12.593 g/cm³
D(E_F) = 5.2 states/eV/cell
Total magnetization = 0.0 μB/f.u.

Unit cell a=5.3658 b=5.3658 c=5.3658 alpha=60.00 beta=60.00 gamma=60.00
Last column: nearest neighbours and their distance in Å.
Element x y z (fractional)
K (0.0000, 0.0000, 0.0000)  12 Pt 3.15, 4 Be 3.29
Be (0.2500, 0.2500, 0.2500)  12 Pt 3.15, 4 K 3.29
Pt (0.1263, 0.6246, 0.6246)  6 Pt 2.67-2.69
Pt (0.6246, 0.1263, 0.6246)  6 Pt 2.67-2.69
Pt (0.6246, 0.6246, 0.1263)  6 Pt 2.67-2.69
Pt (0.6246, 0.6246, 0.6246)  6 Pt 2.67-2.69



VASP calculation (PBE) on K2BePt after structural relaxation.

Computed properties:
Energy = -0.1806 Ry/atom
ρ = 4.971 g/cm³
D(E_F) = 1.3 states/eV/cell
Total magnetization = 0.0 μB/f.u.

Unit cell a=5.1090 b=5.1090 c=5.1090 alpha=60.00 beta=60.00 gamma=60.00
Last column: nearest neighbours and their distance in Å.
Element x y z (fractional)
K (0.0000, 0.0000, 0.0000)  4 K 3.13, 4 Be 3.13
K (0.2500, 0.2500, 0.2500)  4 Pt 3.13, 4 K 3.13
Be (0.7500, 0.7500, 0.7500)  4 Pt 3.13, 4 K 3.13
Pt (0.5000, 0.5000, 0.5000)  4 K 3.13, 4 Be 3.13



VASP calculation (PBE) on KBePt2 after structural relaxation.

Computed properties:
Energy = -0.3148 Ry/atom
ρ = 8.880 g/cm³
D(E_F) = 1.8 states/eV/cell
Total magnetization = 0.0 μB/f.u.

Unit cell a=4.3550 b=6.6297 c=6.6297 alpha=25.35 beta=90.00 gamma=90.00
Last column: nearest neighbours and their distance in Å.
Element x y z (fractional)
K (0.0000, 0.0000, 0.0000)  2 K 2.91
Be (0.5000, 0.3049, 0.3049)  4 Pt 2.22-2.24
Pt (0.0000, 0.2628, 0.2628)  2 Be 2.24
Pt (0.5000, 0.6749, 0.6749)  2 Be 2.22



VASP calculation (PBE) on KBePt2 after structural relaxation.

Computed properties:
Energy = -0.3279 Ry/atom
ρ = 8.208 g/cm³
D(E_F) = 1.0 states/eV/cell
Total magnetization = 0.0 μB/f.u.

Unit cell a=5.7058 b=5.7058 c=6.1708 alpha=113.54 beta=113.54 gamma=28.98
Last column: nearest neighbours and their distance in Å.
Element x y z (fractional)
K (0.0000, 0.0000, 0.0000)  2 K 2.85
Be (0.8520, 0.8520, 0.4288)  4 Pt 2.19-2.20
Pt (0.2355, 0.2355, 0.5342)  2 Be 2.19
Pt (0.5169, 0.5169, 0.5132)  2 Be 2.20



VASP calculation (PBE) on K2BePt after structural relaxation.

Computed properties:
Energy = -0.1708 Ry/atom
ρ = 4.385 g/cm³
D(E_F) = 3.1 states/eV/cell
Total magnetization = 0.0 μB/f.u.

Unit cell a=2.8251 b=4.6292 c=8.1742 alpha=90.00 beta=90.00 gamma=90.00
Last column: nearest neighbours and their distance in Å.
Element x y z (fractional)
K (0.0000, 0.0000, 0.2252)  2 K 2.83
K (0.0000, 0.0000, 0.7748)  2 K 2.83
Be (0.5000, 0.5000, 0.5000)  2 Be 2.83
Pt (0.5000, 0.5000, 0.0000)  2 Pt 2.83



VASP calculation (PBE) on K2BePt after structural relaxation.

Computed properties:
Energy = -0.1608 Ry/atom
ρ = 5.118 g/cm³
D(E_F) = 3.4 states/eV/cell
Total magnetization = 0.0 μB/f.u.

Unit cell a=11.4789 b=11.4789 c=11.4789 alpha=159.63 beta=159.63 gamma=28.97
Last column: nearest neighbours and their distance in Å.
Element x y z (fractional)
K (0.1245, 0.6250, 0.9995)  4 K 2.87, 2 Pt 3.13, 2 Be 3.13
K (0.3750, 0.3745, 0.4995)  4 K 2.87, 2 Pt 3.13, 2 Be 3.13
K (0.6255, 0.1250, 0.0005)  4 K 2.87, 2 Pt 3.13, 2 Be 3.13
K (0.8750, 0.8755, 0.5005)  4 K 2.87, 2 Pt 3.13, 2 Be 3.13
Be (0.2500, 0.7500, 0.5000)  4 Pt 2.87, 4 K 3.13
Be (0.5000, 0.5000, 0.0000)  4 Pt 2.87, 4 K 3.13
Pt (0.0000, 0.0000, 0.0000)  4 Be 2.87, 4 K 3.13
Pt (0.7500, 0.2500, 0.5000)  4 Be 2.87, 4 K 3.13



VASP calculation (PBE) on KBePt after structural relaxation.

Computed properties:
Excess energy over the best structure of this formula in the dataset = 0.078 eV/atom
ρ = 5.983 g/cm³
D(E_F) = 1.1 states/eV/cell
Total magnetization = 0.0 μB/f.u.

Unit cell a=3.8128 b=3.8128 c=5.3608 alpha=90.00 beta=90.00 gamma=120.00
Last column: nearest neighbours and their distance in Å.
Element x y z (fractional)
K (0.0000, 0.0000, 0.0000)  6 Be 3.47, 6 Pt 3.47, 6 K 3.81
Be (0.3333, 0.6667, 0.5000)  3 Pt 2.20
Pt (0.6667, 0.3333, 0.5000)  3 Be 2.20



VASP calculation (PBE) on KBePt after structural relaxation.

Computed properties:
Excess energy over the best structure of this formula in the dataset = 0.000 eV/atom
ρ = 6.673 g/cm³
D(E_F) = 0.7 states/eV/cell
Total magnetization = 0.0 μB/f.u.

Unit cell a=6.2989 b=6.2989 c=6.2989 alpha=153.56 beta=146.97 gamma=42.80
Last column: nearest neighbours and their distance in Å.
Element x y z (fractional)
K (0.0000, 0.0000, 0.0000)  2 K 2.88, 1 Be 2.97, 1 Pt 3.15
Be (0.2535, 0.2535, 0.0000)  4 Pt 2.31
Pt (0.7311, 0.7311, 0.0000)  4 Be 2.31



VASP calculation (PBE) on KBePt2 after structural relaxation.

Computed properties:
Energy = -0.2806 Ry/atom
ρ = 10.728 g/cm³
D(E_F) = 1.1 states/eV/cell
Total magnetization = 0.0 μB/f.u.

Unit cell a=5.0792 b=5.0792 c=2.8053 alpha=90.26 beta=90.26 gamma=110.38
Last column: nearest neighbours and their distance in Å.
Element x y z (fractional)
K (0.0000, 0.0000, 0.0000)  2 K 2.81, 8 Pt 2.90-2.91, 2 Be 2.90
Be (0.5000, 0.5000, 0.0000)  2 Be 2.81, 8 Pt 2.90-2.91, 2 K 2.90
Pt (0.0000, 0.5000, 0.5000)  4 Pt 2.81-2.90, 4 Be 2.90-2.91, 4 K 2.90-2.91
Pt (0.5000, 0.0000, 0.5000)  4 Pt 2.81-2.90, 4 Be 2.90-2.91, 4 K 2.90-2.91



VASP calculation (PBE) on K4BePt after structural relaxation.

Computed properties:
Energy = -0.1083 Ry/atom
ρ = 2.787 g/cm³
D(E_F) = 2.3 states/eV/cell
Total magnetization = 0.0 μB/f.u.

Unit cell a=6.7224 b=6.7224 c=6.7224 alpha=60.00 beta=60.00 gamma=60.00
Last column: nearest neighbours and their distance in Å.
Element x y z (fractional)
K (0.1236, 0.1236, 0.1236)  6 K 3.32-3.40
K (0.1236, 0.1236, 0.6294)  6 K 3.32-3.40
K (0.1236, 0.6294, 0.1236)  6 K 3.32-3.40
K (0.6294, 0.1236, 0.1236)  6 K 3.32-3.40
Be (0.5000, 0.5000, 0.5000)  12 K 3.95, 4 Pt 4.12
Pt (0.7500, 0.7500, 0.7500)  12 K 3.94, 4 Be 4.12



VASP calculation (PBE) on KBePt2 after structural relaxation.

Computed properties:
Energy = -0.3129 Ry/atom
ρ = 7.495 g/cm³
D(E_F) = 5.2 states/eV/cell
Total magnetization = 0.0 μB/f.u.

Unit cell a=8.1635 b=8.1635 c=8.1635 alpha=143.18 beta=143.18 gamma=53.06
Last column: nearest neighbours and their distance in Å.
Element x y z (fractional)
K (0.0000, 0.0000, 0.0000)  8 Pt 3.26-3.57, 4 Be 3.65
K (0.7500, 0.2500, 0.5000)  8 Pt 3.26-3.57, 4 Be 3.65
Be (0.2500, 0.7500, 0.5000)  4 Pt 2.24
Be (0.5000, 0.5000, 0.0000)  4 Pt 2.24
Pt (0.3348, 0.1250, 0.7098)  2 Be 2.24
Pt (0.3750, 0.6652, 0.7902)  2 Be 2.24
Pt (0.4152, 0.6250, 0.2902)  2 Be 2.24
Pt (0.8750, 0.5848, 0.2098)  2 Be 2.24